Below is a relaxed CeFeP2O8 crystal, with properties calculated at the GGA+U level.

Final energy: -7.5804 eV per atom
Volume: 12.8 Å³/atom

Lattice parameters (Å, degrees): 5.1758 5.1758 6.6302 90.00 90.00 120.00
Closest atoms and distances in Å follow each position.
Atoms (fractional coordinates):
O 0.6609 0.8304 0.7935  1 P 1.55
O 0.8304 0.1696 0.2065  1 P 1.55
O 0.1696 0.8304 0.7935  1 P 1.55
O 0.3391 0.1696 0.2065  1 P 1.55
O 0.6667 0.3333 0.5119  1 P 1.54
O 0.1696 0.3391 0.7935  1 P 1.55
O 0.8304 0.6609 0.2065  1 P 1.55
O 0.3333 0.6667 0.4881  1 P 1.54
Fe 0.0000 0.0000 0.0000  6 O 2.05
P 0.3333 0.6667 0.7197  4 O 1.54-1.55
P 0.6667 0.3333 0.2803  4 O 1.54-1.55
Ce 0.0000 0.0000 0.5000  6 O 2.47